## La2TlNi2 (PBE)

Data for crystalline La2TlNi2 at its relaxed geometry.

Values from the calculation:
DOS(E_F) in states/eV/cell: 5.39
Space-group type: I4/mmm, No. 139
Total magnetic moment in μB per formula unit: 0.0
Energy of formation from the pure elements in eV/atom: -0.25

Lattice parameters (Å, degrees): 5.5688 5.5688 5.5688 120.09 120.09 89.84
Fractional positions:
La1 0.2500 0.7500 0.5000
La2 0.7500 0.2500 0.5000
Tl1 0.0000 0.0000 0.0000
Ni1 0.3529 0.3529 0.0000
Ni2 0.6471 0.6471 0.0000